Material: BeAu5
Method: DFT, meta-GGA SCAN
State: single point on PBEsol structure

```
BeAu5
1.0
2.8652 0.0000 0.0000
0.0000 2.8652 0.0000
0.0000 0.0000 11.3088
Be Au
1 5
Direct
0.0000 0.0000 0.0000
0.0000 0.0000 0.3165
0.0000 0.0000 0.6835
0.5000 0.5000 0.1282
0.5000 0.5000 0.5000
0.5000 0.5000 0.8718
```

energy relative to the elements	-0.128	eV per atom
crystal system	tetragonal
distance to the lowest polymorph of the same formula	0	meV/atom
total magnetization	0.00	Bohr magnetons per cell
energy	-58.485	eV per atom

=====

Material: BeAu
Method: DFT, meta-GGA SCAN
State: single point on PBEsol structure

```
BeAu
1.0
1.4310 -4.5330 0.0000
1.4310 4.5330 0.0000
0.0000 0.0000 3.8670
Be Au
2 2
Direct
0.0741 0.9259 0.7500
0.9259 0.0741 0.2500
0.3515 0.6485 0.7500
0.6485 0.3515 0.2500
```

energy relative to the elements	-0.276	eV per atom
crystal system	orthorhombic
total magnetization	0.00	Bohr magnetons per cell
energy	-37.031	eV per atom

=====

Material: BeAu
Method: DFT, meta-GGA SCAN
State: single point on PBEsol structure

```
BeAu
1.0
3.0287 0.0000 0.0000
0.0000 3.0287 0.0000
0.0000 0.0000 5.5554
Be Au
2 2
Direct
0.2500 0.2500 0.1172
0.7500 0.7500 0.8828
0.2500 0.2500 0.6876
0.7500 0.7500 0.3124
```

energy relative to the elements	-0.305	eV per atom
crystal system	tetragonal
total magnetization	0.00	Bohr magnetons per cell
energy	-37.060	eV per atom

=====

Material: BeAu
Method: DFT, meta-GGA SCAN
State: single point on PBEsol structure

```
BeAu
1.0
4.4481 -1.4345 0.0000
4.4481 1.4345 0.0000
-2.1464 0.0000 6.0044
Be Au
3 3
Direct
0.0000 0.0000 0.0000
0.0707 0.0707 0.5651
0.7071 0.7071 0.3268
0.3556 0.3556 0.6538
0.4264 0.4264 0.2577
0.6858 0.6858 0.9092
```

energy relative to the elements	-0.268	eV per atom
crystal system	monoclinic
total magnetization	0.00	Bohr magnetons per cell
energy	-37.024	eV per atom

=====

Material: BeAu4
Method: DFT, meta-GGA SCAN
State: single point on PBEsol structure

```
BeAu4
1.0
-2.7584 2.7584 2.7584
2.7584 -2.7584 2.7584
2.7584 2.7584 -2.7584
Be Au
1 4
Direct
0.0000 0.0000 0.0000
0.0000 0.0000 0.5000
0.0000 0.5000 0.0000
0.5000 0.0000 0.0000
0.5000 0.5000 0.5000
```

energy relative to the elements	-0.128	eV per atom
crystal system	cubic
distance to the lowest polymorph of the same formula	22	meV/atom
total magnetization	0.00	Bohr magnetons per cell
energy	-56.324	eV per atom

=====

Material: Be4Au3
Method: DFT, meta-GGA SCAN
State: single point on PBEsol structure

```
Be4Au3
1.0
-1.4817 1.4817 9.5698
1.4817 -1.4817 9.5698
1.4817 1.4817 -9.5698
Be Au
4 3
Direct
0.0689 0.0689 0.0000
0.3688 0.3688 0.0000
0.6312 0.6312 0.0000
0.9311 0.9311 0.0000
0.1935 0.1935 0.0000
0.5000 0.5000 0.0000
0.8065 0.8065 0.0000
```

energy relative to the elements	-0.285	eV per atom
crystal system	tetragonal
total magnetization	0.00	Bohr magnetons per cell
energy	-32.412	eV per atom